Record 1
Computed, not measured: InCoCuF6 after structural relaxation at the PBE+U level of DFT.

POSCAR file:
```
InCoCuF6
1.0
5.5159 0.0000 0.0000
-2.7580 4.7769 0.0000
0.0000 0.0000 9.1984
In Co Cu F
2 2 2 12
Direct
0.3333 0.6667 0.2500 In
0.6667 0.3333 0.7500 In
0.3333 0.6667 0.7500 Co
0.6667 0.3333 0.2500 Co
0.0000 0.0000 0.0000 Cu
0.0000 0.0000 0.5000 Cu
0.0085 0.3503 0.6321 F
0.0085 0.6583 0.8679 F
0.3417 0.3503 0.8679 F
0.3417 0.9915 0.6321 F
0.3503 0.0085 0.1321 F
0.3503 0.3417 0.3679 F
0.6497 0.6583 0.6321 F
0.6497 0.9915 0.8679 F
0.6583 0.0085 0.3679 F
0.6583 0.6497 0.1321 F
0.9915 0.3417 0.1321 F
0.9915 0.6497 0.3679 F
```

E	-4.5476	eV/atom
M_tot	6.3	Bohr magnetons per cell

Record 2
Computed, not measured: K3Co2CuF9 after structural relaxation at the PBE+U level of DFT.

POSCAR file:
```
K3Co2CuF9
1.0
5.8213 0.0000 0.0000
-2.9107 5.0414 0.0000
0.0000 0.0000 7.1200
K Co Cu F
3 2 1 9
Direct
0.0000 0.0000 0.0000 K
0.3333 0.6667 0.6610 K
0.6667 0.3333 0.3390 K
0.3333 0.6667 0.1664 Co
0.6667 0.3333 0.8336 Co
0.0000 0.0000 0.5000 Cu
0.0000 0.5000 0.0000 F
0.1691 0.3383 0.3244 F
0.1691 0.8309 0.3244 F
0.3383 0.1691 0.6756 F
0.5000 0.0000 0.0000 F
0.5000 0.5000 0.0000 F
0.6617 0.8309 0.3244 F
0.8309 0.1691 0.6756 F
0.8309 0.6617 0.6756 F
```

E	-4.5313	eV/atom
M_tot	7.0	Bohr magnetons per cell

Record 3
Computed, not measured: KCoCuF6 after structural relaxation at the PBE+U level of DFT.

POSCAR file:
```
KCoCuF6
1.0
-3.5073 3.6034 5.1201
3.5073 -3.6034 5.1201
3.5073 3.6034 -5.1201
K Co Cu F
2 2 2 12
Direct
0.3700 0.1200 0.2500 K
0.6300 0.8800 0.7500 K
0.0000 0.5000 0.5000 Co
0.5000 0.5000 0.0000 Co
0.0000 0.0000 0.5000 Cu
0.0000 0.5000 0.0000 Cu
0.0803 0.8303 0.2500 F
0.0865 0.4313 0.2722 F
0.0865 0.8144 0.6553 F
0.3089 0.5589 0.7500 F
0.3409 0.1856 0.7722 F
0.3409 0.5687 0.1553 F
0.6591 0.4313 0.8447 F
0.6591 0.8144 0.2278 F
0.6911 0.4411 0.2500 F
0.9135 0.1856 0.3447 F
0.9135 0.5687 0.7278 F
0.9197 0.1697 0.7500 F
```

E	-4.3543	eV/atom
M_tot	2.0	Bohr magnetons per cell

Record 4
Computed, not measured: K3CoCu2F9 after structural relaxation at the PBE+U level of DFT.

POSCAR file:
```
K3CoCu2F9
1.0
5.8069 0.0000 0.0000
-2.9034 5.0289 0.0000
0.0000 0.0000 7.0930
K Co Cu F
3 1 2 9
Direct
0.0000 0.0000 0.0000 K
0.3333 0.6667 0.6738 K
0.6667 0.3333 0.3262 K
0.0000 0.0000 0.5000 Co
0.3333 0.6667 0.1651 Cu
0.6667 0.3333 0.8349 Cu
0.0000 0.5000 0.0000 F
0.1637 0.3275 0.3409 F
0.1637 0.8363 0.3409 F
0.3275 0.1637 0.6591 F
0.5000 0.0000 0.0000 F
0.5000 0.5000 0.0000 F
0.6725 0.8363 0.3409 F
0.8363 0.1637 0.6591 F
0.8363 0.6725 0.6591 F
```

E	-4.4084	eV/atom
M_tot	5.0	Bohr magnetons per cell

Record 5
Computed, not measured: LiCoCuF6 after structural relaxation at the PBE+U level of DFT.

POSCAR file:
```
LiCoCuF6
1.0
4.9427 0.0000 0.0000
-2.4713 4.2805 0.0000
0.0000 0.0000 8.8608
Li Co Cu F
2 2 2 12
Direct
0.3333 0.6667 0.2500 Li
0.6667 0.3333 0.7500 Li
0.3333 0.6667 0.7500 Co
0.6667 0.3333 0.2500 Co
0.0000 0.0000 0.0000 Cu
0.0000 0.0000 0.5000 Cu
0.0206 0.3534 0.6310 F
0.0206 0.6672 0.8690 F
0.3328 0.3534 0.8690 F
0.3328 0.9794 0.6310 F
0.3534 0.0206 0.1310 F
0.3534 0.3328 0.3690 F
0.6466 0.6672 0.6310 F
0.6466 0.9794 0.8690 F
0.6672 0.0206 0.3690 F
0.6672 0.6466 0.1310 F
0.9794 0.3328 0.1310 F
0.9794 0.6466 0.3690 F
```

E	-4.4279	eV/atom
offset from the most stable computed form	0.0788	eV per atom
M_tot	2.0	Bohr magnetons per cell

Record 6
Computed, not measured: LiCoCuF6 after structural relaxation at the PBE+U level of DFT.

POSCAR file:
```
LiCoCuF6
1.0
4.6131 0.0000 0.0000
0.0000 4.6131 0.0000
0.0000 0.0000 9.3800
Li Co Cu F
2 2 2 12
Direct
0.0000 0.0000 0.0000 Li
0.5000 0.5000 0.5000 Li
0.0000 0.0000 0.6665 Co
0.5000 0.5000 0.1665 Co
0.0000 0.0000 0.3336 Cu
0.5000 0.5000 0.8336 Cu
0.1956 0.1956 0.5089 F
0.2003 0.2003 0.8293 F
0.2106 0.2106 0.1692 F
0.2894 0.7106 0.6692 F
0.2997 0.7003 0.3293 F
0.3044 0.6956 0.0089 F
0.6956 0.3044 0.0089 F
0.7003 0.2997 0.3293 F
0.7106 0.2894 0.6692 F
0.7894 0.7894 0.1692 F
0.7997 0.7997 0.8293 F
0.8044 0.8044 0.5089 F
```

E	-4.5067	eV/atom
offset from the most stable computed form	0.0000	eV per atom
M_tot	10.0	Bohr magnetons per cell